Entry from the Alexandria database: a relaxed structure of Dy2V2O7 (PBE+U).

Properties
Polymorph energy (0 for the lowest one)   72 meV/atom
Density   5.5 g/cm3

CIF file:
```
data_Dy2V2O7
_chemical_formula_sum 'Dy2 V2 O7'
_cell_length_a 5.822
_cell_length_b 5.822
_cell_length_c 5.255
_cell_angle_alpha 83.93
_cell_angle_beta 96.07
_cell_angle_gamma 69.69
_symmetry_space_group_name_H-M 'P 1'
_symmetry_Int_Tables_number 1
_symmetry_space_group_name_Hall 'P 1'
loop_
_atom_site_label
_atom_site_type_symbol
_atom_site_fract_x
_atom_site_fract_y
_atom_site_fract_z
Dy1 Dy 0.313 0.313 0.500
Dy2 Dy 0.687 0.687 0.500
V1 V 0.246 0.754 0.898
V2 V 0.754 0.246 0.102
O1 O 0.065 0.612 0.706
O2 O 0.388 0.935 0.706
O3 O 0.425 0.575 0.220
O4 O 0.575 0.425 0.780
O5 O 0.000 0.000 0.000
O6 O 0.612 0.065 0.294
O7 O 0.935 0.388 0.294
```